An optimized crystal structure of BaSr5Ca. Source: Alexandria, functional PBE.

Cell lengths 9.8347, 9.8347, 14.9552 Å; angles 53.16, 53.16, 45.93 degrees
Closest atoms and distances in Å follow each position.
Atoms (fractional coordinates):
1 Ba 0.7507 0.2493 0.2500  6 Sr 3.82-4.14, 2 Ca 4.20
2 Ba 0.2493 0.7507 0.7500  6 Sr 3.82-4.14, 2 Ca 4.20
3 Sr 0.7627 0.7684 0.0456  1 Ca 3.84, 6 Sr 4.01-4.27, 2 Ba 4.11-4.14
4 Sr 0.3439 0.3394 0.6195  5 Sr 4.01-4.46, 2 Ca 4.40-4.43
5 Sr 0.7684 0.7627 0.5456  1 Ca 3.84, 6 Sr 4.01-4.27, 2 Ba 4.11-4.14
6 Sr 0.2529 0.7471 0.2500  2 Ba 3.82-3.85, 4 Sr 4.10, 2 Ca 4.21
7 Sr 0.6606 0.6561 0.8805  5 Sr 4.01-4.46, 2 Ca 4.40-4.43
8 Sr 0.3394 0.3439 0.1195  5 Sr 4.01-4.46, 2 Ca 4.40-4.43
9 Sr 0.7471 0.2529 0.7500  2 Ba 3.82-3.85, 4 Sr 4.10, 2 Ca 4.21
10 Sr 0.2316 0.2373 0.4544  1 Ca 3.84, 6 Sr 4.01-4.27, 2 Ba 4.11-4.14
11 Sr 0.6561 0.6606 0.3805  5 Sr 4.01-4.46, 2 Ca 4.40-4.43
12 Sr 0.2373 0.2316 0.9544  1 Ca 3.84, 6 Sr 4.01-4.27, 2 Ba 4.11-4.14
13 Ca 0.0000 0.0000 0.0000  4 Sr 3.84-4.21, 2 Ba 4.20
14 Ca 0.0000 0.0000 0.5000  4 Sr 3.84-4.21, 2 Ba 4.20

Results
calculated volume = 789 Å³ per cell
symmetry = C2/c
energy relative to the elements = 10.8 kJ/mol of atoms
raw total energy = -1.650 eV/atom

---

An optimized crystal structure of CsCaAl2Sn. Source: Alexandria, functional PBE.

Cell lengths 5.6039, 5.9715, 5.6039 Å; angles 90.00, 90.00, 90.00 degrees
Closest atoms and distances in Å follow each position.
Atoms (fractional coordinates):
1 Cs 0.5000 0.5000 0.5000  4 Ca 3.96, 8 Al 4.09
2 Ca 0.0000 0.5000 0.0000  2 Sn 2.99
3 Sn 0.0000 0.0000 0.0000  4 Al 2.80, 2 Ca 2.99
4 Al 0.0000 0.0000 0.5000  2 Sn 2.80
5 Al 0.5000 0.0000 0.0000  2 Sn 2.80

Results
calculated volume = 188 Å³ per cell
symmetry = P4/mmm
energy relative to the elements = 35.7 kJ/mol of atoms
raw total energy = -2.499 eV/atom

---

An optimized crystal structure of HfTeS2Cl. Source: Alexandria, functional PBE.

Cell lengths 5.1645, 5.1645, 4.9872 Å; angles 90.00, 90.00, 90.00 degrees
Closest atoms and distances in Å follow each position.
Atoms (fractional coordinates):
1 S 0.0000 0.5000 0.0000  2 Te 2.58
2 S 0.5000 0.0000 0.0000  2 Te 2.58
3 Te 0.0000 0.0000 0.0000  2 Cl 2.49, 4 S 2.58
4 Hf 0.5000 0.5000 0.5000  8 S 3.59, 4 Cl 3.65
5 Cl 0.0000 0.0000 0.5000  2 Te 2.49

Results
calculated volume = 133 Å³ per cell
symmetry = P4/mmm
raw formation energy = 0.68 eV per atom
raw total energy = -3.963 eV/atom
energy above the most stable polymorph in this dataset = 1216.6 meV per atom

---

no.,theoretical density (g cm⁻³)
1,2.59
2,3.06
3,5.06